(1)
The following is a DFT calculation (PBE-GGA) of HfMg2CrOs after structural relaxation.

Its total energy is -6.078 eV per atom. The value obtained for the total moment is 4.65 μB per formula unit. The value obtained for the energy of formation from the pure elements is 0.721 eV/atom.

The space group is P4/mmm (No. 123) and the conventional cell measures 5.0067, 5.0067 and 4.9148 Å, with angles of 90.00, 90.00 and 90.00 degrees. The inequivalent atoms are Hf at (0.0000, 0.0000, 0.0000), Mg at (0.0000, 0.5000, 0.5000), Cr at (0.5000, 0.5000, 0.0000) and Os at (0.0000, 0.0000, 0.5000).



(2)
The following is a DFT calculation (PBE-GGA) of HfMg2CrPb after structural relaxation.

Its total energy is -4.160 eV per atom. The value obtained for the total moment is 4.82 μB per formula unit. The value obtained for the energy of formation from the pure elements is 1.135 eV/atom.

The space group is P4/mmm (No. 123) and the conventional cell measures 5.3095, 5.3095 and 5.5362 Å, with angles of 90.00, 90.00 and 90.00 degrees. The inequivalent atoms are Hf at (0.0000, 0.0000, 0.0000), Mg at (0.0000, 0.5000, 0.5000), Cr at (0.5000, 0.5000, 0.0000) and Pb at (0.0000, 0.0000, 0.5000).



(3)
The following is a DFT calculation (PBE-GGA) of RbHf2MgCr after structural relaxation.

Its total energy is -3.708 eV per atom. The value obtained for the total moment is 0.02 μB per formula unit. The value obtained for the energy of formation from the pure elements is 2.711 eV/atom.

The space group is P4/mmm (No. 123) and the conventional cell measures 4.9848, 4.9848 and 4.9279 Å, with angles of 90.00, 90.00 and 90.00 degrees. The inequivalent atoms are Rb at (0.0000, 0.0000, 0.0000), Hf at (0.0000, 0.5000, 0.0000), Mg at (0.0000, 0.0000, 0.5000) and Cr at (0.5000, 0.5000, 0.5000).



(4)
The following is a DFT calculation (PBE-GGA) of HfMgCrRu2 after structural relaxation.

Its total energy is -6.138 eV per atom. The value obtained for the total moment is 0.02 μB per formula unit. The value obtained for the energy of formation from the pure elements is 1.807 eV/atom.

The space group is P4/mmm (No. 123) and the conventional cell measures 4.4159, 4.4159 and 4.7274 Å, with angles of 90.00, 90.00 and 90.00 degrees. The inequivalent atoms are Hf at (0.0000, 0.0000, 0.0000), Mg at (0.0000, 0.0000, 0.5000), Cr at (0.5000, 0.5000, 0.0000) and Ru at (0.0000, 0.5000, 0.5000).



(5)
The following is a DFT calculation (PBE-GGA) of Hf2MgCrS after structural relaxation.

Its total energy is -5.655 eV per atom. The value obtained for the total moment is 3.98 μB per formula unit. The uncorrected formation energy is 1.40 eV per atom.

The space group is P4/mmm (No. 123) and the conventional cell measures 5.0592, 5.0592 and 4.5741 Å, with angles of 90.00, 90.00 and 90.00 degrees. The inequivalent atoms are Hf at (0.0000, 0.5000, 0.0000), Mg at (0.0000, 0.0000, 0.0000), Cr at (0.0000, 0.0000, 0.5000) and S at (0.5000, 0.5000, 0.5000).



(6)
The following is a DFT calculation (PBE-GGA) of HfMgCr2S6 after structural relaxation.

Its total energy is -6.586 eV per atom. The value obtained for the total moment is 6.00 μB per formula unit. The uncorrected formation energy is -1.03 eV per atom.

The space group is R3 (No. 146, hexagonal axes) and the conventional cell measures 6.2185, 6.2185 and 16.9073 Å, with angles of 90.00, 90.00 and 120.00 degrees. The inequivalent atoms are Hf at (0.0000, 0.0000, 0.0000), Mg at (0.0000, 0.0000, 0.5041), Cr at (0.0000, 0.0000, 0.3112), Cr at (0.0000, 0.0000, 0.8109), S at (0.0114, 0.3636, 0.0690) and S at (0.0109, 0.6421, 0.5688).



(7)
The following is a DFT calculation (PBE-GGA) of Sr2HfMgCr after structural relaxation.

Its total energy is -3.137 eV per atom. The value obtained for the total moment is 2.33 μB per formula unit. The value obtained for the energy of formation from the pure elements is 1.770 eV/atom.

The space group is P4/mmm (No. 123) and the conventional cell measures 5.8601, 5.8601 and 5.4672 Å, with angles of 90.00, 90.00 and 90.00 degrees. The inequivalent atoms are Sr at (0.0000, 0.5000, 0.0000), Hf at (0.0000, 0.0000, 0.5000), Mg at (0.0000, 0.0000, 0.0000) and Cr at (0.5000, 0.5000, 0.5000).



(8)
The following is a DFT calculation (PBE-GGA) of HfMgZnCr2 after structural relaxation.

Its total energy is -5.152 eV per atom. The value obtained for the total moment is 5.97 μB per formula unit. The value obtained for the energy of formation from the pure elements is 1.262 eV/atom.

The space group is P4/mmm (No. 123) and the conventional cell measures 4.6209, 4.6209 and 4.4804 Å, with angles of 90.00, 90.00 and 90.00 degrees. The inequivalent atoms are Hf at (0.0000, 0.0000, 0.0000), Mg at (0.5000, 0.5000, 0.5000), Zn at (0.5000, 0.5000, 0.0000) and Cr at (0.0000, 0.5000, 0.5000).



Question: The highest total moment belongs to which entry?
Answer: HfMgCr2S6



Question: Which of these has the highest total moment?
Answer: HfMgCr2S6